Entry 1:
Density functional theory data (PBE-GGA) for a relaxed LaAl2Ru crystal.

Computed properties:
ΔE_f	-0.11	eV/atom
DOS at the Fermi energy	0.74	states/eV per atom
space group	P4/mmm

Unit cell a=4.0750 b=4.0750 c=4.8220 alpha=90.00 beta=90.00 gamma=90.00
Fractional positions:
La1 0.0000 0.0000 0.0000
Al1 0.0000 0.5000 0.5000
Al2 0.5000 0.0000 0.5000
Ru1 0.5000 0.5000 0.0000

***

Entry 2:
Density functional theory data (PBE-GGA) for a relaxed LaAl3Ru2 crystal.

Computed properties:
ΔE_f	-0.56	eV/atom
DOS at the Fermi energy	0.65	states/eV per atom
space group	Cmcm

Unit cell a=6.3055 b=6.3055 c=5.7681 alpha=90.00 beta=90.00 gamma=77.75
Fractional positions:
La1 0.1491 0.8509 0.7500
La2 0.8509 0.1491 0.2500
Al1 0.0352 0.5866 0.2500
Al2 0.4134 0.9648 0.2500
Al3 0.4590 0.5410 0.2500
Al4 0.5410 0.4590 0.7500
Al5 0.5866 0.0352 0.7500
Al6 0.9648 0.4134 0.7500
Ru1 0.2910 0.2910 0.0000
Ru2 0.2910 0.2910 0.5000
Ru3 0.7090 0.7090 0.0000
Ru4 0.7090 0.7090 0.5000